## Th3Ga9Rh2 (PBE)

Data for a geometry-optimized Th3Ga9Rh2 structure.

As for the formation energy: -0.626 eV/atom. As for the total energy: -5.2125 eV per atom. The calculation puts the density of states at the Fermi level at 5.81 states/eV/f.u. As for the crystal system: orthorhombic.

The space group is Immm (No. 71) and the conventional cell measures 4.339, 10.032 and 12.487 Å, with angles of 90.00, 90.00 and 90.00 degrees. Symmetry generates all atoms from Th at (0.000, 0.000, 0.000), Th at (0.000, 0.000, 0.324), Ga at (0.000, 0.276, 0.126), Ga at (0.000, 0.370, 0.332), Ga at (0.000, 0.500, 0.000) and Rh at (0.000, 0.222, 0.500).

## GdHoPb2 (PBE)

Data for a geometry-optimized GdHoPb2 structure.

As for the formation energy: -0.361 eV/atom. As for the total energy: -6.8800 eV per atom. The calculation puts the density of states at the Fermi level at 2.87 states/eV/f.u. As for the crystal system: trigonal.

The space group is R-3m (No. 166, hexagonal axes) and the conventional cell measures 3.8482, 3.8482 and 28.1675 Å, with angles of 90.00, 90.00 and 120.00 degrees. Symmetry generates all atoms from Gd at (0.0000, 0.0000, 0.0000), Ho at (0.0000, 0.0000, 0.5000) and Pb at (0.0000, 0.0000, 0.2489).

## Ca2TlCrSe (PBE)

Data for a geometry-optimized Ca2TlCrSe structure.

As for the total energy: -3.9118 eV per atom. The calculation puts the uncorrected formation energy at -0.016 eV/atom. The calculation puts the density of states at the Fermi level at 3.54 states/eV/f.u. As for the crystal system: tetragonal.

The space group is P4/mmm (No. 123) and the conventional cell measures 5.444, 5.444 and 6.083 Å, with angles of 90.00, 90.00 and 90.00 degrees. Symmetry generates all atoms from Ca at (0.000, 0.500, 0.000), Tl at (0.000, 0.000, 0.500), Cr at (0.500, 0.500, 0.500) and Se at (0.000, 0.000, 0.000).

## AcNbRh (PBE)

Data for a geometry-optimized AcNbRh structure.

As for the formation energy: 0.013 eV/atom. As for the total energy: -7.1637 eV per atom. The calculation puts the density of states at the Fermi level at 2.76 states/eV/f.u. As for the crystal system: tetragonal.

The space group is P4/mmm (No. 123) and the conventional cell measures 3.620, 3.620 and 10.984 Å, with angles of 90.00, 90.00 and 90.00 degrees. Symmetry generates all atoms from Ac at (0.000, 0.000, 0.167), Nb at (0.500, 0.500, 0.393), Rh at (0.000, 0.000, 0.500) and Rh at (0.500, 0.500, 0.000).

## NaIr3Cl (PBE)

Data for a geometry-optimized NaIr3Cl structure.

As for the total energy: -3.2431 eV per atom. The calculation puts the uncorrected formation energy at 2.707 eV/atom. The calculation puts the density of states at the Fermi level at 5.74 states/eV/f.u. As for the crystal system: cubic. Its relative energy among the computed polymorphs is 1354.7 meV/atom.

The space group is Pm-3m (No. 221) and the conventional cell measures 4.731, 4.731 and 4.731 Å, with angles of 90.00, 90.00 and 90.00 degrees. Symmetry generates all atoms from Na at (0.000, 0.000, 0.000), Ir at (0.000, 0.000, 0.500) and Cl at (0.500, 0.500, 0.500).

## ZrTaW (PBE)

Data for a geometry-optimized ZrTaW structure.

As for the formation energy: 0.608 eV/atom. As for the total energy: -10.5095 eV per atom. The calculation puts the density of states at the Fermi level at 2.54 states/eV/f.u. As for the crystal system: cubic. Its relative energy among the computed polymorphs is 683.6 meV/atom.

The space group is F-43m (No. 216) and the conventional cell measures 6.393, 6.393 and 6.393 Å, with angles of 90.00, 90.00 and 90.00 degrees. Symmetry generates all atoms from Zr at (0.000, 0.000, 0.000), Ta at (0.000, 0.000, 0.500) and W at (0.250, 0.250, 0.750).

## ZnGaI2O (PBE)

Data for a geometry-optimized ZnGaI2O structure.

As for the total energy: -2.7632 eV per atom. The calculation puts the uncorrected formation energy at -0.291 eV/atom. The calculation puts the density of states at the Fermi level at 7.11 states/eV/f.u. As for the crystal system: tetragonal. Its relative energy among the computed polymorphs is 16.5 meV/atom.

The space group is P4/mmm (No. 123) and the conventional cell measures 6.248, 6.248 and 3.587 Å, with angles of 90.00, 90.00 and 90.00 degrees. Symmetry generates all atoms from Zn at (0.000, 0.000, 0.000), Ga at (0.500, 0.500, 0.500), I at (0.000, 0.500, 0.000) and O at (0.000, 0.000, 0.500).

## K2BeCdCl6 (PBE)

Data for a geometry-optimized K2BeCdCl6 structure.

As for the total energy: -3.3023 eV per atom. The calculation puts the uncorrected formation energy at -1.511 eV/atom. The calculation puts the density of states at the Fermi level at 0.00 states/eV/f.u. As for the crystal system: triclinic.

The space group is P1 (No. 1) and the conventional cell measures 7.197, 7.200 and 8.762 Å, with angles of 90.05, 114.22 and 119.96 degrees. Symmetry generates all atoms from K at (0.000, 0.000, 0.000), K at (0.022, 0.511, 0.533), Be at (0.510, 0.255, 0.765), Cd at (0.512, 0.756, 0.267), Cl at (0.176, 0.421, 0.266), Cl at (0.240, 0.253, 0.765), Cl at (0.511, 0.090, 0.266), Cl at (0.511, 0.987, 0.765), Cl at (0.777, 0.524, 0.765) and Cl at (0.846, 0.755, 0.266).